Run A
Density functional theory data (PBE) for a relaxed K2GaBr crystal.

As for the space group: I-42d (122).

abc: 7.5909 7.5909 7.5909
angles: 105.88 105.88 116.91
Sites, in units of the cell vectors:
K  0.0906  0.6250  0.9656
K  0.3750  0.3406  0.4656
K  0.6594  0.1250  0.0344
K  0.8750  0.9094  0.5344
Ga  0.2500  0.7500  0.5000
Ga  0.5000  0.5000  0.0000
Br  0.0000  0.0000  0.0000
Br  0.7500  0.2500  0.5000


Run B
Density functional theory data (PBE) for a relaxed K2GaBr crystal.

As for the space group: Fm-3m (225).

abc: 5.9577 5.9577 5.9577
angles: 60.00 60.00 60.00
Sites, in units of the cell vectors:
K  0.2500  0.2500  0.2500
K  0.7500  0.7500  0.7500
Ga  0.0000  0.0000  0.0000
Br  0.5000  0.5000  0.5000


It is run A that is the most stable of them.


Run A
Density functional theory data (PBE) for a relaxed KGaSe2Br crystal.

As for the space group: P4/mmm (123).

abc: 6.0390 6.0390 6.0321
angles: 90.00 90.00 90.00
Sites, in units of the cell vectors:
K  0.0000  0.0000  0.0000
Ga  0.5000  0.5000  0.5000
Se  0.0000  0.5000  0.0000
Se  0.5000  0.0000  0.0000
Br  0.0000  0.0000  0.5000


Run B
Density functional theory data (PBE) for a relaxed KGaSe2Br crystal.

As for the space group: P4/mmm (123).

abc: 4.9928 4.9928 5.8295
angles: 90.00 90.00 90.00
Sites, in units of the cell vectors:
K  0.0000  0.0000  0.0000
Ga  0.5000  0.5000  0.5000
Se  0.0000  0.5000  0.5000
Se  0.5000  0.0000  0.5000
Br  0.5000  0.5000  0.0000


It is run B that is the most stable of them.


Run A
Density functional theory data (PBE) for a relaxed KGaSeBr2 crystal.

As for the space group: P4/mmm (123).

abc: 6.1286 6.1286 5.9710
angles: 90.00 90.00 90.00
Sites, in units of the cell vectors:
K  0.0000  0.0000  0.0000
Ga  0.5000  0.5000  0.5000
Se  0.0000  0.0000  0.5000
Br  0.0000  0.5000  0.0000
Br  0.5000  0.0000  0.0000


Run B
Density functional theory data (PBE) for a relaxed KGaSeBr2 crystal.

As for the space group: P4/mmm (123).

abc: 5.4786 5.4786 4.9629
angles: 90.00 90.00 90.00
Sites, in units of the cell vectors:
K  0.0000  0.0000  0.0000
Ga  0.5000  0.5000  0.5000
Se  0.5000  0.5000  0.0000
Br  0.0000  0.5000  0.5000
Br  0.5000  0.0000  0.5000


It is run B that is the most stable of them.


Run A
Density functional theory data (PBE) for a relaxed LaGa3Br crystal.

As for the space group: Pm-3m (221).

abc: 5.3979 5.3979 5.3979
angles: 90.00 90.00 90.00
Sites, in units of the cell vectors:
La  0.0000  0.0000  0.0000
Ga  0.0000  0.5000  0.5000
Ga  0.5000  0.0000  0.5000
Ga  0.5000  0.5000  0.0000
Br  0.5000  0.5000  0.5000


Run B
Density functional theory data (PBE) for a relaxed LaGa3Br crystal.

As for the space group: Pm-3m (221).

abc: 5.9363 5.9363 5.9363
angles: 90.00 90.00 90.00
Sites, in units of the cell vectors:
La  0.0000  0.0000  0.0000
Ga  0.0000  0.0000  0.5000
Ga  0.0000  0.5000  0.0000
Ga  0.5000  0.0000  0.0000
Br  0.5000  0.5000  0.5000


It is run A that is the most stable of them.